Li2Pa2Co15 | the Alexandria database | PBE | relaxed; E = -6.9048 eV per atom; crystal system = trigonal
1.0
4.141 2.391 4.025
-4.141 2.391 4.025
0.000 -4.781 4.025
Li Pa Co
2 2 15
Cartesian
0.000 0.000 1.151
0.000 0.000 10.924
0.000 0.000 4.184
0.000 0.000 7.891
-4.141 0.000 6.037
-1.217 -2.674 4.025
-2.070 1.195 2.012
-2.924 0.283 4.025
-2.052 -1.185 5.838
1.217 -2.674 4.025
-1.707 2.391 4.025
0.000 -2.369 6.237
-2.052 1.185 6.237
2.070 1.195 2.012
2.052 -1.185 5.838
0.000 2.369 5.838
2.924 0.283 4.025
1.707 2.391 4.025
2.052 1.185 6.237


LiPaCoPd | the Alexandria database | PBE | relaxed; E = -6.0842 eV per atom; crystal system = cubic
1.0
0.000 3.251 3.251
3.251 0.000 3.251
3.251 3.251 0.000
Li Pa Co Pd
1 1 1 1
Cartesian
0.000 0.000 0.000
3.251 3.251 3.251
4.876 4.876 4.876
1.625 1.625 1.625


LiPaCoRu | the Alexandria database | PBE | relaxed; E = -7.1342 eV per atom; crystal system = cubic
1.0
0.000 3.155 3.155
3.155 0.000 3.155
3.155 3.155 0.000
Li Pa Co Ru
1 1 1 1
Cartesian
0.000 0.000 0.000
3.155 3.155 3.155
1.578 1.578 1.578
4.733 4.733 4.733


Li2PaCoS4 | the Alexandria database | PBE | relaxed; formation energy (no corrections) = -1.129 eV per atom; crystal system = orthorhombic
1.0
1.893 -6.073 0.000
1.893 6.073 0.000
0.000 0.000 12.084
Li Pa Co S
4 2 2 8
Cartesian
1.893 4.714 6.659
1.893 4.714 11.466
1.893 -4.714 0.617
1.893 -4.714 5.425
1.893 1.193 9.063
1.893 -1.193 3.021
1.893 1.960 3.021
1.893 -1.960 9.063
1.893 5.255 9.063
1.893 3.581 1.507
1.893 3.581 4.534
1.893 0.000 0.000
1.893 0.000 6.042
1.893 -3.581 7.549
1.893 -3.581 10.576
1.893 -5.255 3.021


Li4Pa3CoS8 | the Alexandria database | PBE | relaxed; formation energy (no corrections) = -1.299 eV per atom; crystal system = trigonal
1.0
3.740 2.159 6.341
-3.740 2.159 6.341
0.000 -4.319 6.341
Li Pa Co S
4 3 1 8
Cartesian
0.000 0.000 0.000
-1.870 -1.080 6.341
-1.870 1.080 12.682
0.000 2.159 6.341
-3.740 0.000 9.511
-1.870 1.080 3.170
1.870 1.080 3.170
0.000 0.000 9.511
0.000 0.000 4.886
0.000 -2.051 7.933
-1.776 1.026 7.933
-1.776 -1.026 11.090
1.776 1.026 7.933
1.776 -1.026 11.090
0.000 2.051 11.090
0.000 0.000 14.136


Li2Pa2CoS6 | the Alexandria database | PBE | relaxed; formation energy (no corrections) = -1.252 eV per atom; crystal system = monoclinic
1.0
3.255 -5.665 0.000
3.255 5.665 0.000
-1.999 0.000 6.233
Li Pa Co S
2 2 1 6
Cartesian
3.255 3.821 0.000
3.255 -3.821 0.000
2.255 1.773 3.116
2.255 -1.773 3.116
-0.999 0.000 3.116
0.053 1.896 4.606
0.917 0.000 1.594
0.053 -1.896 4.606
4.458 1.896 1.627
3.593 0.000 4.639
4.458 -1.896 1.627


Li3Pa3CoSe8 | the Alexandria database | PBE | relaxed; formation energy (no corrections) = -1.110 eV per atom; crystal system = trigonal
1.0
3.934 2.271 6.631
-3.934 2.271 6.631
0.000 -4.542 6.631
Li Pa Co Se
3 3 1 8
Cartesian
-1.967 -1.136 6.631
-1.967 1.136 13.262
0.000 2.271 6.631
-3.934 0.000 9.946
-1.967 1.136 3.315
1.967 1.136 3.315
0.000 0.000 9.946
0.000 0.000 5.102
0.000 -2.141 8.345
-1.854 1.071 8.345
-1.854 -1.071 11.547
1.854 1.071 8.345
1.854 -1.071 11.547
0.000 2.141 11.547
0.000 0.000 14.790


LiPa3Co2Sn3 | the Alexandria database | PBE | relaxed; E = -6.6082 eV per atom; crystal system = hexagonal
1.0
7.323 0.000 0.000
-3.661 6.342 0.000
0.000 0.000 3.932
Li Pa Co Sn
1 3 2 3
Cartesian
0.000 0.000 0.000
-2.151 3.726 0.000
1.510 2.615 0.000
4.303 0.000 0.000
0.000 4.228 1.966
3.661 2.114 1.966
-0.939 1.627 1.966
1.879 0.000 1.966
2.722 4.715 1.966


LiPaCoSn | the Alexandria database | PBE | relaxed; E = -5.8644 eV per atom; crystal system = cubic
1.0
0.000 3.280 3.280
3.280 0.000 3.280
3.280 3.280 0.000
Li Pa Co Sn
1 1 1 1
Cartesian
0.000 0.000 0.000
1.640 1.640 1.640
3.280 3.280 3.280
4.920 4.920 4.920


LiPaCoTc | the Alexandria database | PBE | relaxed; E = -7.2790 eV per atom; crystal system = cubic
1.0
0.000 3.132 3.132
3.132 0.000 3.132
3.132 3.132 0.000
Li Pa Co Tc
1 1 1 1
Cartesian
0.000 0.000 0.000
3.132 3.132 3.132
4.698 4.698 4.698
1.566 1.566 1.566


Li2CoPb2 | the Alexandria database | PBE | relaxed; polymorph energy (0 for the lowest one) = 0.000 eV per atom; crystal system = tetragonal
1.0
7.070 0.000 0.000
0.000 7.070 0.000
0.000 0.000 4.087
Li Co Pb
4 2 4
Cartesian
1.063 2.472 0.000
2.472 6.007 0.000
4.598 1.063 0.000
6.007 4.598 0.000
0.000 0.000 2.043
3.535 3.535 2.043
1.129 4.664 2.043
2.406 1.129 2.043
4.664 5.941 2.043
5.941 2.406 2.043


LiCo2Pb2 | the Alexandria database | PBE | relaxed; polymorph energy (0 for the lowest one) = 0.000 eV per atom; crystal system = tetragonal
1.0
-1.686 1.686 8.708
1.686 -1.686 8.708
1.686 1.686 -8.708
Li Co Pb
1 2 2
Cartesian
0.000 0.000 0.000
1.686 0.000 4.354
0.000 1.686 4.354
0.000 0.000 6.624
0.000 0.000 10.791


Number 1: total magnetization 17.1 μB/f.u.. Number 2: total magnetization 0.0 μB/f.u.. Number 3: total magnetization 0.0 μB/f.u.. Number 4: total magnetization 1.7 μB/f.u.. Number 5: total magnetization 6.1 μB/f.u.. Number 6: total magnetization 3.1 μB/f.u.. Number 7: total magnetization 4.9 μB/f.u.. Number 8: total magnetization 0.0 μB/f.u.. Number 9: total magnetization 0.5 μB/f.u.. Number 10: total magnetization 0.0 μB/f.u.. Number 11: total magnetization 1.0 μB/f.u.. Number 12: total magnetization 3.4 μB/f.u..